## BaRe2Tc (PBE-GGA)

Data for a relaxed BaRe2Tc crystal.

Cell lengths 10.522, 10.522, 10.522 Å; angles 15.85, 15.85, 15.85 degrees
Sites, in units of the cell vectors:
Ba 0.000 0.000 0.000
Re 0.235 0.235 0.235
Re 0.765 0.765 0.765
Tc 0.500 0.500 0.500

Offset from the most stable computed form in meV per atom: 261
Space-group type: R-3m
Energy in eV/atom: -8.296
Energy relative to the elements in eV/atom: 1.00
Total moment in μB/f.u.: 0.000